Density functional theory data (PBE) for an optimized crystal structure of InTcNi4.

a = 4.802 Å, b = 4.802 Å, c = 4.802 Å
α = 60.00°, β = 60.00°, γ = 60.00°
Atoms (fractional coordinates):
In 0.000 0.000 0.000
Tc 0.250 0.250 0.250
Ni 0.126 0.625 0.625
Ni 0.625 0.126 0.625
Ni 0.625 0.625 0.126
Ni 0.625 0.625 0.625

Calculated values
VASP energy: -5.9574 eV/atom
total moment: 3.83 μB per formula unit
V: 13.046 A^3/atom
space group: F-43m (216)